Entry from the Alexandria database: a relaxed La2ReRh crystal (PBE).

Summary:
distance to the lowest polymorph of the same formula: 0.1466 eV per atom
ΔE_f: 0.06 eV/atom

extended XYZ file:
```
8
Lattice="3.384 0.000 0.000 0.000 4.788 0.000 0.000 0.000 11.728" Properties=species:S:1:pos:R:3 pbc="T T T"
La 0.000 0.000 0.000
La 0.000 2.394 2.508
La 1.692 0.000 8.372
La 1.692 2.394 5.864
Re 0.000 0.000 5.276
Re 1.692 2.394 11.140
Rh 0.000 2.394 9.175
Rh 1.692 0.000 3.311
```